# 1
A relaxed La8SbIr2 crystal, computed with PBE.

Structure (POSCAR):
```
La8SbIr2
1.0
4.451 -7.073 0.000
4.451 7.073 0.000
-1.356 0.000 5.537
La Sb Ir
8 1 2
Cartesian
1.075 1.734 3.065
4.451 3.562 0.000
1.075 -1.734 3.065
3.292 0.000 1.089
4.255 0.000 4.448
6.472 1.734 2.472
4.451 -3.562 0.000
6.472 -1.734 2.472
0.000 0.000 0.000
3.773 2.969 2.769
3.773 -2.969 2.769
```

DFT total energy (eV per atom): -6.045
Space group: C2/m (12)



# 2
A relaxed Th8GeP3S4 crystal, computed with PBE.

Structure (POSCAR):
```
Th8GeP3S4
1.0
4.133 2.386 6.673
-4.133 2.386 6.673
0.000 -4.772 6.673
Th Ge P S
8 1 3 4
Cartesian
-2.094 -1.209 11.674
0.000 -2.417 8.344
-2.094 1.209 8.344
0.000 0.000 4.978
0.000 0.000 15.039
2.094 -1.209 11.674
0.000 2.417 11.674
2.094 1.209 8.344
0.000 0.000 10.009
-4.133 0.000 10.009
-2.066 1.193 3.336
2.066 1.193 3.336
0.000 0.000 0.000
-2.066 -1.193 6.673
-2.066 1.193 13.345
0.000 2.386 6.673
```

DFT total energy (eV per atom): -7.671
Space group: R-3m (166)



# 3
A relaxed P3Pb crystal, computed with PBE.

Structure (POSCAR):
```
P3Pb
1.0
6.035 0.000 0.000
-3.018 5.227 0.000
0.000 0.000 5.736
P Pb
6 2
Cartesian
0.000 1.286 1.434
-1.904 4.584 1.434
1.113 0.643 4.302
1.904 4.584 1.434
4.922 0.643 4.302
3.018 3.941 4.302
0.000 3.485 4.302
3.018 1.742 1.434
```

Energy of formation (eV/atom): 0.506
Space group: P6_3/mmc (194)



# 4
A relaxed HfBeZn3 crystal, computed with PBE.

Structure (POSCAR):
```
HfBeZn3
1.0
4.233 0.000 0.000
0.000 4.233 0.000
0.000 0.000 4.233
Hf Be Zn
1 1 3
Cartesian
0.000 0.000 0.000
2.117 2.117 2.117
0.000 2.117 2.117
2.117 0.000 2.117
2.117 2.117 0.000
```

Energy of formation (eV/atom): 0.201
Space group: Pm-3m (221)
Energy relative to the lowest polymorph listed for this composition (eV per atom): 0.000



# 5
A relaxed YZr2Cd6 crystal, computed with PBE.

Structure (POSCAR):
```
YZr2Cd6
1.0
4.277 2.469 3.194
-4.277 2.469 3.194
0.000 -4.939 3.194
Y Zr Cd
1 2 6
Cartesian
0.000 0.000 0.000
0.000 0.000 3.331
0.000 0.000 6.251
-1.426 -2.470 4.791
-2.852 0.000 4.791
1.426 -2.470 4.791
-1.426 2.470 4.791
2.852 0.000 4.791
1.426 2.470 4.791
```

Energy of formation (eV/atom): -0.157
Space group: R-3m (166)



# 6
A relaxed Pr2Al3Cu12Ni crystal, computed with PBE.

Structure (POSCAR):
```
Pr2Al3Cu12Ni
1.0
3.101 1.790 8.908
-3.101 1.790 8.908
0.000 -3.580 8.908
Pr Al Cu Ni
2 3 12 1
Cartesian
0.000 0.000 4.116
0.000 0.000 22.608
-1.550 -0.895 8.908
-1.550 0.895 17.816
0.000 1.790 8.908
0.000 -2.186 7.571
-1.893 1.093 7.571
-1.281 -0.740 11.469
-1.893 -1.093 19.153
0.000 -1.479 15.255
-1.281 0.740 15.255
1.281 -0.740 11.469
0.000 1.479 11.469
1.893 1.093 7.571
1.281 0.740 15.255
1.893 -1.093 19.153
0.000 2.186 19.153
0.000 0.000 13.362
```

Energy of formation (eV/atom): 0.093
Space group: R-3m (166)



Fermi-level density of states? In order: 13.396 7.184 2.973 1.815 6.478 9.493 states/eV per cell.